[1]
TbY3Ru3 | PBE | optimized geometry

a = 9.5517 Å, b = 9.5517 Å, c = 5.8762 Å
α = 90.00°, β = 90.00°, γ = 120.00°
Space group R3m (No. 160, hexagonal axes)
Symmetry-distinct sites (fractional):
Tb  0.0000  0.0000  0.0000 (multiplicity 3)
Y  0.1953  0.3906  0.2196 (multiplicity 9)
Ru  0.1669  0.3339  0.7483 (multiplicity 9)

Calculated values
As for the crystal system: trigonal. The value obtained for the formation energy is -2.3 eV/f.u.

=====

[2]
AsBrN2 | PBE | optimized geometry

a = 3.8550 Å, b = 3.8550 Å, c = 18.9695 Å
α = 90.00°, β = 90.00°, γ = 120.00°
Space group R-3m (No. 166, hexagonal axes)
Symmetry-distinct sites (fractional):
As  0.0000  0.0000  0.0000 (multiplicity 3)
Br  0.0000  0.0000  0.5000 (multiplicity 3)
N  0.0000  0.0000  0.0919 (multiplicity 6)

Calculated values
As for the crystal system: trigonal. The excess energy over the best structure of this formula in the dataset is 0.5773 eV per atom. The calculation puts the uncorrected formation energy at 1.8267 eV/atom.

=====

[3]
KSr2InPd | PBE | optimized geometry

a = 6.021 Å, b = 6.021 Å, c = 5.360 Å
α = 90.00°, β = 90.00°, γ = 90.00°
Space group P4/mmm (No. 123)
Symmetry-distinct sites (fractional):
K  0.000  0.000  0.000 (multiplicity 1)
Sr  0.000  0.500  0.500 (multiplicity 2)
In  0.500  0.500  0.000 (multiplicity 1)
Pd  0.500  0.500  0.500 (multiplicity 1)

Calculated values
As for the crystal system: tetragonal. The excess energy over the best structure of this formula in the dataset is 0.0000 eV per atom. The value obtained for the formation energy is -1.4 eV/f.u.

=====

[4]
AuN2F | PBE | optimized geometry

a = 3.6152 Å, b = 3.6152 Å, c = 13.6090 Å
α = 90.00°, β = 90.00°, γ = 120.00°
Space group R-3m (No. 166, hexagonal axes)
Symmetry-distinct sites (fractional):
Au  0.0000  0.0000  0.0000 (multiplicity 3)
N  0.0000  0.0000  0.1459 (multiplicity 6)
F  0.0000  0.0000  0.5000 (multiplicity 3)

Calculated values
As for the crystal system: trigonal. The excess energy over the best structure of this formula in the dataset is 2.1558 eV per atom. The calculation puts the uncorrected formation energy at 1.9105 eV/atom.